A relaxed structure of Ce8C3S4O, computed with PBE-GGA.

Computed properties:
Uncorrected energy   -0.2754 hartree per atom
Raw formation energy   -1.46 eV per atom
ρ   6.789 g/cm3
SG   No. 166

extended XYZ file:
```
16
Lattice="7.5715 0.0000 0.0000 0.0000 7.7586 0.1262 -3.7857 -3.7818 5.3568" Properties=species:S:1:pos:R:3 pbc="T T T"
Ce -1.8853 1.8698 5.3279
Ce 0.0000 3.7531 2.6603
Ce 0.0000 0.2135 2.8262
Ce 1.8853 1.8698 5.3279
Ce 1.9004 2.1070 0.1550
Ce 3.7857 3.7633 2.6567
Ce 3.7857 0.2237 2.8226
Ce 5.6710 2.1070 0.1550
C 3.7857 3.8793 0.0631
C 1.8929 1.9884 2.7415
C -1.8929 1.9884 2.7415
S 3.7857 0.0000 0.0000
S 1.8929 -1.8909 2.6784
S 0.0000 0.0000 0.0000
S -1.8929 -1.8909 2.6784
O 0.0000 3.8793 0.0631
```

---

A relaxed structure of CeScCO, computed with PBE-GGA.

Computed properties:
Uncorrected energy   -0.3039 hartree per atom
Raw formation energy   -1.66 eV per atom
ρ   6.185 g/cm3
SG   No. 160

extended XYZ file:
```
4
Lattice="3.4188 0.0000 0.0000 1.7094 2.9607 0.0000 1.7094 0.9869 5.6514" Properties=species:S:1:pos:R:3 pbc="T T T"
Ce 5.1282 2.9607 0.0662
Sc 3.4188 1.9738 2.8153
C 1.7094 0.9869 1.5116
O 5.1282 2.9607 4.0840
```

---

A relaxed structure of CeSmCO, computed with PBE-GGA.

Computed properties:
Uncorrected energy   -0.2860 hartree per atom
Raw formation energy   -1.57 eV per atom
ρ   7.970 g/cm3
SG   No. 123

extended XYZ file:
```
4
Lattice="-2.2676 1.9402 -2.0048 -2.3788 0.0052 2.6957 2.0816 4.3222 1.8286" Properties=species:S:1:pos:R:3 pbc="T T T"
Ce -2.3232 0.9727 0.3455
Sm 1.0408 2.1611 0.9143
C 0.0000 0.0000 0.0000
O -1.2824 3.1338 1.2597
```

---

A relaxed structure of CeTmCO, computed with PBE-GGA.

Computed properties:
Uncorrected energy   -0.2873 hartree per atom
Raw formation energy   -1.67 eV per atom
ρ   9.007 g/cm3
SG   No. 160

extended XYZ file:
```
4
Lattice="3.5288 0.0000 0.0000 1.7644 3.0561 0.0000 1.7644 1.0187 5.7623" Properties=species:S:1:pos:R:3 pbc="T T T"
Ce 5.2932 3.0561 0.0688
Tm 3.5288 2.0374 2.8908
C 1.7644 1.0187 1.4693
O 5.2932 3.0561 4.2146
```

---

A relaxed structure of CeUCO, computed with PBE-GGA.

Computed properties:
Uncorrected energy   -0.3419 hartree per atom
Raw formation energy   -1.45 eV per atom
ρ   10.845 g/cm3
SG   No. 160

extended XYZ file:
```
4
Lattice="3.5452 0.0000 0.0000 1.7726 3.0703 0.0000 1.7726 1.0234 5.7132" Properties=species:S:1:pos:R:3 pbc="T T T"
Ce 1.7726 1.0234 2.3993
U 5.3179 3.0703 5.2481
C 5.3179 3.0703 0.7931
O 3.5452 2.0469 3.9613
```

---

A relaxed structure of CeYCO, computed with PBE-GGA.

Computed properties:
Uncorrected energy   -0.3045 hartree per atom
Raw formation energy   -1.64 eV per atom
ρ   6.657 g/cm3
SG   No. 160

extended XYZ file:
```
4
Lattice="-1.8139 -2.8881 1.0634 0.9387 -3.2360 -1.1871 3.3137 -2.6476 4.4622" Properties=species:S:1:pos:R:3 pbc="T T T"
Ce -0.8402 -6.1301 -0.0799
Y 1.2232 -4.3865 2.1743
C 0.6017 -2.1916 1.0748
O 1.7978 -6.5736 3.2151
```

---

A relaxed structure of Ce3OsC3, computed with PBE-GGA.

Computed properties:
Uncorrected energy   -0.3075 hartree per atom
ρ   8.990 g/cm3
DFT formation energy   -266 meV/atom
SG   No. 63

extended XYZ file:
```
14
Lattice="-2.1191 4.4957 1.7112 -5.5029 -1.1435 -3.8103 -1.9111 -3.0856 5.7399" Properties=species:S:1:pos:R:3 pbc="T T T"
Ce -6.3738 0.1518 3.8182
Ce -3.9082 0.5068 5.9389
Ce -3.3361 1.8848 3.0269
Ce -3.1593 0.1148 -0.1774
Ce -5.6249 -0.2401 -2.2981
Ce -6.1970 -1.6182 0.6140
Os -3.5439 -1.3652 3.2347
Os -5.9893 1.6318 0.4062
C -5.3506 -2.1323 3.0128
C -2.8691 -1.7298 5.0284
C -2.2120 -0.3417 2.1952
C -4.1826 2.3989 0.6280
C -6.6640 1.9965 -1.3876
C -7.3212 0.6083 1.4457
```

---

A relaxed structure of Ce12Os6C, computed with PBE-GGA.

Computed properties:
Uncorrected energy   -0.2887 hartree per atom
ρ   9.495 g/cm3
DFT formation energy   -77 meV/atom
SG   No. 148

extended XYZ file:
```
19
Lattice="8.0105 0.0240 0.0287 -1.1907 7.9216 0.0287 -1.1907 -1.3873 7.7992" Properties=species:S:1:pos:R:3 pbc="T T T"
Ce 5.3524 4.0830 3.3213
Ce 1.6975 5.6753 4.6108
Ce 3.2244 2.2119 6.4079
Ce 0.2767 2.4752 4.5353
Ce 3.9316 0.8829 3.2458
Ce 2.4047 4.3464 1.4487
Ce -0.8579 7.1388 2.4082
Ce -1.5573 4.2307 7.1958
Ce 4.4178 7.2404 0.4024
Ce 6.4869 -0.5806 5.4484
Ce 7.1863 2.3276 0.6609
Ce 1.2112 -0.6821 7.4542
Os 4.1164 6.3813 3.0267
Os 4.4367 2.2108 1.0371
Os -0.0545 4.4802 2.3606
Os 1.5127 0.1769 4.8299
Os 1.1924 4.3474 6.8195
Os 5.6835 2.0780 5.4960
C 0.0000 0.0000 0.0000
```

---

A relaxed structure of Ce6Os2C, computed with PBE-GGA.

Computed properties:
Uncorrected energy   -0.2807 hartree per atom
ρ   9.496 g/cm3
DFT formation energy   -163 meV/atom
SG   No. 14

extended XYZ file:
```
18
Lattice="6.3560 0.0000 0.0468 0.0000 7.0681 0.0000 0.3911 0.0000 9.6030" Properties=species:S:1:pos:R:3 pbc="T T T"
Ce 0.9481 0.2953 2.4354
Ce 1.2008 2.2548 5.4009
Ce 1.4932 2.2962 9.0654
Ce 2.2716 5.8303 5.3625
Ce 2.5639 5.7889 9.0269
Ce 2.4254 3.8294 2.3895
Ce 5.7990 6.7728 7.2144
Ce 5.5463 4.8133 4.2488
Ce 5.2540 4.7719 0.5844
Ce 4.4756 1.2378 4.2873
Ce 4.1833 1.2792 0.6228
Ce 4.3217 3.2387 7.2602
Os 0.6542 4.3523 7.3630
Os 3.1106 0.8183 7.0648
Os 3.6366 6.2498 2.5849
Os 6.0930 2.7158 2.2867
C 3.1780 3.5341 0.0234
C 0.1956 0.0000 4.8015
```

---

A relaxed structure of Ce2OsC, computed with PBE-GGA.

Computed properties:
Uncorrected energy   -0.2973 hartree per atom
ρ   10.294 g/cm3
DFT formation energy   -10 meV/atom
SG   No. 13

extended XYZ file:
```
16
Lattice="-2.0383 -1.6857 4.7579 -1.6305 -4.6524 -2.3468 9.6140 -3.2248 2.9761" Properties=species:S:1:pos:R:3 pbc="T T T"
Ce 5.6954 -8.5212 3.8813
Ce 0.2498 -1.0416 1.5059
Ce 3.3604 -5.7089 3.8774
Ce 2.5848 -3.8539 1.5099
Ce -1.0587 -4.2174 3.2322
Ce 7.0039 -5.3454 2.1551
Ce 0.0295 -7.1774 2.6496
Ce 5.9156 -2.3854 2.7376
Os 1.4041 -6.0954 0.6057
Os 4.5411 -3.4674 4.7816
Os -0.4591 -3.6667 0.6679
Os 6.4043 -5.8961 4.7193
C 4.7721 -4.8738 1.3197
C 1.1731 -4.6890 4.0676
C 6.5473 -7.4843 1.1553
C -0.6021 -2.0785 4.2319
```

---

- Which of these has the highest uncorrected energy?
  Ce8C3S4O